Record 1
A geometry-optimized KSb2Ir structure. Source: Alexandria via LeMat-Bulk, functional PBE.

Output
The calculation puts the size of the total moment at 0.0 Bohr magnetons per cell. As for the uncorrected formation energy: 0.235 eV/atom. The value obtained for the energy above the lowest structure with this stoichiometry is 529 meV per atom.

```
KSb2Ir
1.0
0.0000 3.5420 3.5420
3.5420 0.0000 3.5420
3.5420 3.5420 0.0000
K Sb Ir
1 2 1
direct
0.0000 0.0000 0.0000
0.2500 0.2500 0.2500
0.7500 0.7500 0.7500
0.5000 0.5000 0.5000
```

---

Record 2
A geometry-optimized KSb2Ir structure. Source: Alexandria via LeMat-Bulk, functional PBE.

Output
The calculation puts the size of the total moment at 0.0 Bohr magnetons per cell. As for the uncorrected formation energy: -0.294 eV/atom. The value obtained for the energy above the lowest structure with this stoichiometry is 0 meV per atom.

```
KSb2Ir
1.0
2.1701 1.2529 7.1352
-2.1701 1.2529 7.1352
0.0000 -2.5059 7.1352
K Sb Ir
1 2 1
direct
0.0000 0.0000 0.0000
0.2139 0.2139 0.2139
0.4509 0.4509 0.4509
0.8239 0.8239 0.8239
```

---

Record 3
A geometry-optimized KScSb2Ir structure. Source: Alexandria via LeMat-Bulk, functional PBE.

Output
The calculation puts the size of the total moment at 1.6 Bohr magnetons per cell. As for the uncorrected formation energy: 1.092 eV/atom. The value obtained for the energy above the lowest structure with this stoichiometry is 0 meV per atom.

```
KScSb2Ir
1.0
5.3497 0.0000 0.0000
0.0000 5.3497 0.0000
0.0000 0.0000 5.4919
K Sc Sb Ir
1 1 2 1
direct
0.0000 0.0000 0.0000
0.0000 0.0000 0.5000
0.0000 0.5000 0.5000
0.5000 0.0000 0.5000
0.5000 0.5000 0.0000
```